A plane-wave DFT calculation with PBE was carried out for an optimized crystal structure of ScAg.

POSCAR file:
```
ScAg
1.0
-3.123 -1.111 0.009
0.225 -5.579 -0.359
0.118 -0.296 4.674
Sc Ag
2 2
Direct
0.852 0.296 0.250
0.148 0.704 0.750
0.581 0.837 0.250
0.419 0.163 0.750
```

## Properties
Total energy ... -4.81 eV per atom